This record from Alexandria describes BePt2Au at its PBEsol-relaxed geometry. The functional is SCAN.

Summary:
Crystal system: trigonal
Total energy: -53.894 eV/atom
SG: No. 166

Cell and atoms, written as POSCAR:
```
BePt2Au
1.0
-2.739 0.238 0.068
-1.322 -0.015 2.412
-0.605 8.556 1.291
Be Au Pt
1 1 2
Cartesian
0.000 0.000 0.000
-2.333 4.389 1.886
-1.200 1.813 0.922
-3.465 6.966 2.849
```



This record from Alexandria describes BePtAu at its PBEsol-relaxed geometry. The functional is SCAN.

Summary:
Crystal system: cubic
Total energy: -47.651 eV/atom
SG: No. 216

Cell and atoms, written as POSCAR:
```
BePtAu
1.0
4.156 0.000 0.000
2.078 3.600 0.000
2.078 1.200 3.394
Au Be Pt
1 1 1
Cartesian
2.078 1.200 0.848
0.000 0.000 0.000
4.156 2.400 1.697
```



This record from Alexandria describes BePt2Au at its PBEsol-relaxed geometry. The functional is SCAN.

Summary:
Crystal system: orthorhombic
Total energy: -53.767 eV/atom
SG: No. 38

Cell and atoms, written as POSCAR:
```
BePt2Au
1.0
2.764 0.000 0.000
0.000 3.586 0.000
-1.382 0.000 5.701
Be Au Pt
1 1 2
Cartesian
1.382 1.793 0.314
1.382 0.000 2.017
1.382 0.000 5.265
0.000 1.793 3.639
```



This record from Alexandria describes BePt2Au at its PBEsol-relaxed geometry. The functional is SCAN.

Summary:
Crystal system: orthorhombic
Total energy: -53.815 eV/atom
SG: No. 71

Cell and atoms, written as POSCAR:
```
BePt2Au
1.0
2.777 0.000 0.000
0.000 4.458 0.000
-1.389 -2.229 4.464
Be Pt Au
1 2 1
Cartesian
0.000 2.229 0.000
0.000 0.000 2.643
1.389 2.229 1.821
1.389 0.000 0.000
```



This record from Alexandria describes BePtAu at its PBEsol-relaxed geometry. The functional is SCAN.

Summary:
Crystal system: trigonal
Total energy: -48.167 eV/atom
SG: No. 156

Cell and atoms, written as POSCAR:
```
BePtAu
1.0
-2.907 -0.390 0.172
0.371 -3.578 -1.842
0.208 0.229 4.030
Pt Be Au
1 1 1
Cartesian
-1.035 -2.491 0.195
-1.392 -1.262 2.171
-2.806 -0.377 0.167
```



This record from Alexandria describes BePt2Au at its PBEsol-relaxed geometry. The functional is SCAN.

Summary:
Crystal system: tetragonal
Total energy: -53.950 eV/atom
SG: No. 123

Cell and atoms, written as POSCAR:
```
BePt2Au
1.0
-1.951 -0.934 1.743
1.909 -0.252 2.002
-1.307 6.608 2.079
Be Pt Au
1 2 1
Cartesian
-0.675 2.711 2.912
-0.914 4.618 1.453
-0.394 1.989 0.626
-0.021 -0.593 1.873
```